1.
{"formula": "BeTcRuC2", "functional": "PBE", "state": "relaxed", "m_tot_mub_per_fu": 2.96, "e_form_mev_per_atom": 1751, "sg": "P4/mmm", "lattice": [[3.8941, 0.0000, 0.0000], [0.0000, 3.8941, 0.0000], [0.0000, 0.0000, 4.2348]], "species": ["Be", "Tc", "Ru", "C", "C"], "frac_coords": [[0.0000, 0.0000, 0.0000], [0.5000, 0.5000, 0.0000], [0.0000, 0.0000, 0.5000], [0.0000, 0.5000, 0.5000], [0.5000, 0.0000, 0.5000]]}


2.
{"formula": "TlCuBr2", "functional": "PBE", "state": "relaxed", "m_tot_mub_per_fu": 0.00, "formation_energy_uncorrected_mev_per_atom": -529, "sg": "P2/c", "e_above_lowest_polymorph_kj_per_mol_atoms": 1.2, "lattice": [[7.0156, 0.0000, 0.0000], [0.0000, 6.8318, 0.0000], [-5.2156, 0.0000, 10.7828]], "species": ["Tl", "Tl", "Tl", "Tl", "Cu", "Cu", "Cu", "Cu", "Br", "Br", "Br", "Br", "Br", "Br", "Br", "Br"], "frac_coords": [[0.1382, 0.2291, 0.1254], [0.1382, 0.7709, 0.6254], [0.8618, 0.2291, 0.3746], [0.8618, 0.7709, 0.8746], [0.4677, 0.4290, 0.6320], [0.4677, 0.5710, 0.1320], [0.5323, 0.4290, 0.8680], [0.5323, 0.5710, 0.3680], [0.1930, 0.2893, 0.6747], [0.1930, 0.7107, 0.1747], [0.4445, 0.2584, 0.4267], [0.4445, 0.7416, 0.9267], [0.5555, 0.2584, 0.0733], [0.5555, 0.7416, 0.5733], [0.8070, 0.2893, 0.8253], [0.8070, 0.7107, 0.3253]]}


3.
{"formula": "KV3Pb", "functional": "PBE", "state": "relaxed", "m_tot_mub_per_fu": 11.56, "e_form_mev_per_atom": 1472, "sg": "Pm-3m", "e_above_lowest_polymorph_kj_per_mol_atoms": 0.0, "lattice": [[5.4143, 0.0000, 0.0000], [0.0000, 5.4143, 0.0000], [0.0000, 0.0000, 5.4143]], "species": ["K", "V", "V", "V", "Pb"], "frac_coords": [[0.0000, 0.0000, 0.0000], [0.0000, 0.5000, 0.5000], [0.5000, 0.0000, 0.5000], [0.5000, 0.5000, 0.0000], [0.5000, 0.5000, 0.5000]]}